Sr2ScCd | PBE | relaxed

Output
Crystal system: tetragonal
Energy relative to the lowest polymorph listed for this composition (meV/atom): 0
Energy of formation from the pure elements (eV/atom): -0.028

Unit cell a=3.8500 b=3.8500 c=9.7306 alpha=90.00 beta=90.00 gamma=90.00
Last column: nearest neighbours and their distance in Å.
Atoms (fractional coordinates):
Sc 0.5000 0.5000 0.6847  4 Cd 3.03
Cd 0.0000 0.0000 0.5472  4 Sc 3.03
Sr 0.5000 0.5000 0.3117  4 Cd 3.56, 1 Sc 3.63, 4 Sr 3.85
Sr 0.0000 0.0000 0.9564  4 Sc 3.79, 4 Sr 3.85, 1 Cd 3.98

***

Sr2ScCd16 | PBE | relaxed

Output
Crystal system: trigonal
Energy of formation from the pure elements (eV/atom): -0.170

Unit cell a=7.8094 b=7.8094 c=7.8094 alpha=81.95 beta=81.95 gamma=81.95
Last column: nearest neighbours and their distance in Å.
Atoms (fractional coordinates):
Cd 0.8324 0.3595 0.3595  9 Cd 2.95-3.29
Cd 0.9988 0.7032 0.2926  8 Cd 2.97-3.28, 1 Sc 3.28
Cd 0.9988 0.2926 0.7032  8 Cd 2.97-3.28, 1 Sc 3.28
Cd 0.9957 0.9957 0.5042  9 Cd 2.95-3.10, 1 Sc 3.17
Cd 0.7032 0.2926 0.9988  8 Cd 2.97-3.28, 1 Sc 3.28
Cd 0.9957 0.5042 0.9957  9 Cd 2.95-3.10, 1 Sc 3.17
Cd 0.2926 0.7032 0.9988  8 Cd 2.97-3.28, 1 Sc 3.28
Sc 0.9149 0.9149 0.9149  13 Cd 3.07-3.36
Sr 0.6639 0.6639 0.6639  15 Cd 3.59-3.88, 1 Sc 3.84
Cd 0.3595 0.8324 0.3595  9 Cd 2.95-3.29
Cd 0.5042 0.9957 0.9957  9 Cd 2.95-3.10, 1 Sc 3.17
Sr 0.3412 0.3412 0.3412  10 Cd 3.45-3.63
Cd 0.7032 0.9988 0.2926  8 Cd 2.97-3.28, 1 Sc 3.28
Cd 0.2926 0.9988 0.7032  8 Cd 2.97-3.28, 1 Sc 3.28
Cd 0.3595 0.3595 0.8324  9 Cd 2.95-3.29
Cd 0.6434 0.1416 0.6434  8 Cd 2.95-3.28
Cd 0.6434 0.6434 0.1416  8 Cd 2.95-3.28
Cd 0.1416 0.6434 0.6434  8 Cd 2.95-3.28
Cd 0.1157 0.1157 0.1157  1 Sc 3.07, 6 Cd 3.10-3.29

***

SrScCd | PBE | relaxed

Output
Crystal system: hexagonal
Energy relative to the lowest polymorph listed for this composition (meV/atom): 181
Energy of formation from the pure elements (eV/atom): 0.049

Unit cell a=5.2513 b=5.2513 c=3.9390 alpha=90.00 beta=90.00 gamma=120.00
Last column: nearest neighbours and their distance in Å.
Atoms (fractional coordinates):
Cd 0.0000 0.0000 0.1665  3 Sc 3.03
Sr 0.3333 0.6667 0.6667  6 Cd 3.61-3.62, 6 Sc 3.62, 2 Sr 3.94
Sc 0.6667 0.3333 0.1668  3 Cd 3.03

***

SrScCd2 | PBE | relaxed

Output
Crystal system: cubic
Energy of formation from the pure elements (eV/atom): 0.037

Unit cell a=5.3025 b=5.3025 c=5.3025 alpha=60.00 beta=60.00 gamma=60.00
Last column: nearest neighbours and their distance in Å.
Atoms (fractional coordinates):
Sr 0.7500 0.7500 0.7500  4 Sc 3.25, 4 Cd 3.25
Cd 0.2500 0.2500 0.2500  4 Sc 3.25, 4 Cd 3.25
Sc 0.5000 0.5000 0.5000  4 Cd 3.25, 4 Sr 3.25
Cd 0.0000 0.0000 0.0000  4 Sr 3.25, 4 Cd 3.25

***

SrScCd | PBE | relaxed

Output
Crystal system: cubic
Energy relative to the lowest polymorph listed for this composition (meV/atom): 839
Energy of formation from the pure elements (eV/atom): 0.707

Unit cell a=5.3139 b=5.3139 c=5.3139 alpha=60.00 beta=60.00 gamma=60.00
Last column: nearest neighbours and their distance in Å.
Atoms (fractional coordinates):
Sr 0.7500 0.7500 0.7500  4 Cd 3.25, 4 Sc 3.25
Cd 0.0000 0.0000 0.0000  4 Sr 3.25
Sc 0.5000 0.5000 0.5000  4 Sr 3.25

***

SrScCd2 | PBE | relaxed

Output
Crystal system: tetragonal
Energy of formation from the pure elements (eV/atom): -0.060

Unit cell a=3.9269 b=3.9269 c=7.4004 alpha=90.00 beta=90.00 gamma=90.00
Last column: nearest neighbours and their distance in Å.
Atoms (fractional coordinates):
Sc 0.0000 0.0000 0.4385  5 Cd 3.01-3.06
Cd 0.0000 0.0000 0.0317  1 Sc 3.01, 4 Cd 3.26
Sr 0.5000 0.5000 0.7665  6 Cd 3.40-3.72, 4 Sc 3.69
Cd 0.5000 0.5000 0.2633  4 Sc 3.06, 4 Cd 3.26

***

SrScCd2 | PBE | relaxed

Output
Crystal system: orthorhombic
Energy of formation from the pure elements (eV/atom): -0.096

Unit cell a=6.4832 b=6.4832 c=6.4832 alpha=147.88 beta=129.94 gamma=60.73
Last column: nearest neighbours and their distance in Å.
Atoms (fractional coordinates):
Sr 0.2388 0.7388 0.5000  6 Cd 3.28-3.47, 2 Sr 3.59, 2 Sc 3.59
Sc 0.5311 0.5311 0.0000  6 Cd 3.09-3.34
Cd 0.7566 0.2566 0.5000  2 Cd 3.02, 2 Sc 3.09, 4 Sr 3.28
Cd 0.9735 0.9735 0.0000  2 Cd 3.02, 4 Sc 3.34

***

Sr2ScCd | PBE | relaxed

Output
Crystal system: trigonal
Energy relative to the lowest polymorph listed for this composition (meV/atom): 206
Energy of formation from the pure elements (eV/atom): 0.179

Unit cell a=11.4458 b=11.4458 c=11.4458 alpha=19.55 beta=19.55 gamma=19.55
Last column: nearest neighbours and their distance in Å.
Atoms (fractional coordinates):
Sc 0.7500 0.7500 0.7500  6 Sr 3.70, 6 Sc 3.89
Sr 0.5041 0.5041 0.5041  3 Cd 3.48, 3 Sc 3.70, 6 Sr 3.89
Sr 0.9959 0.9959 0.9959  3 Cd 3.48, 3 Sc 3.70, 6 Sr 3.89
Cd 0.2500 0.2500 0.2500  6 Sr 3.48, 6 Cd 3.89